(1)
Co4ReRu | PBE | optimized geometry

Cell: 4.618 4.618 4.618 Å, 60.00 60.00 60.00°
Fractional coordinates of all 6 atoms:
1 Co 0.876 0.375 0.375
2 Co 0.375 0.375 0.876
3 Co 0.375 0.876 0.375
4 Co 0.375 0.375 0.375
5 Re 0.750 0.750 0.750
6 Ru 0.000 0.000 0.000

Computed properties:
The density of states at the Fermi level is 10.97 states/eV per cell. For the magnetization, the calculation gives 1.8 μB per formula unit. The calculation puts the calculated total energy at -8.227 eV/atom. The energy relative to the elements is 131 meV/atom.

***

(2)
CoReRu2 | PBE | optimized geometry

Cell: 4.581 4.581 4.647 Å, 80.86 80.86 33.90°
Fractional coordinates of all 4 atoms:
1 Co 0.750 0.750 0.750
2 Re 0.250 0.250 0.250
3 Ru 0.001 0.001 0.989
4 Ru 0.499 0.499 0.511

Computed properties:
The density of states at the Fermi level is 5.07 states/eV per cell. For the magnetization, the calculation gives 0.0 μB per formula unit. The calculation puts the calculated total energy at -9.422 eV/atom. Its polymorph energy (0 for the lowest one) is 33 meV/atom. The energy relative to the elements is 105 meV/atom.

***

(3)
CoReRu2 | PBE | optimized geometry

Cell: 4.617 4.617 4.617 Å, 131.92 131.92 70.36°
Fractional coordinates of all 4 atoms:
1 Co 0.500 0.500 0.000
2 Re 0.750 0.250 0.500
3 Ru 0.000 0.000 0.000
4 Ru 0.250 0.750 0.500

Computed properties:
The density of states at the Fermi level is 4.06 states/eV per cell. For the magnetization, the calculation gives 0.0 μB per formula unit. The calculation puts the calculated total energy at -9.444 eV/atom. Its polymorph energy (0 for the lowest one) is 12 meV/atom. The energy relative to the elements is 83 meV/atom.

***

(4)
CoReRu | PBE | optimized geometry

Cell: 4.050 4.050 4.050 Å, 60.00 60.00 60.00°
Fractional coordinates of all 3 atoms:
1 Co 0.500 0.500 0.500
2 Re 0.750 0.750 0.750
3 Ru 0.000 0.000 0.000

Computed properties:
The density of states at the Fermi level is 1.30 states/eV per cell. For the magnetization, the calculation gives 0.0 μB per formula unit. The calculation puts the calculated total energy at -9.082 eV/atom. Its polymorph energy (0 for the lowest one) is 471 meV/atom. The energy relative to the elements is 528 meV/atom.

***

(5)
Co3ReRu | PBE | optimized geometry

Cell: 4.374 4.374 4.374 Å, 90.00 90.00 90.00°
Fractional coordinates of all 5 atoms:
1 Re 0.000 0.000 0.000
2 Co 0.000 0.500 0.000
3 Co 0.000 0.000 0.500
4 Co 0.500 0.000 0.000
5 Ru 0.500 0.500 0.500

Computed properties:
The density of states at the Fermi level is 7.45 states/eV per cell. For the magnetization, the calculation gives 4.2 μB per formula unit. The calculation puts the calculated total energy at -6.872 eV/atom. Its polymorph energy (0 for the lowest one) is 0 meV/atom. The energy relative to the elements is 1736 meV/atom.

***

(6)
CoReRu2 | PBE | optimized geometry

Cell: 3.746 2.695 5.984 Å, 63.18 90.00 90.00°
Fractional coordinates of all 4 atoms:
1 Co 0.500 0.250 0.250
2 Re 0.500 0.750 0.750
3 Ru 0.000 0.990 0.011
4 Ru 0.000 0.510 0.489

Computed properties:
The density of states at the Fermi level is 5.59 states/eV per cell. For the magnetization, the calculation gives 1.0 μB per formula unit. The calculation puts the calculated total energy at -9.422 eV/atom. Its polymorph energy (0 for the lowest one) is 34 meV/atom. The energy relative to the elements is 105 meV/atom.

***

(7)
CoReRu2 | PBE | optimized geometry

Cell: 4.600 4.600 2.702 Å, 90.00 90.00 108.85°
Fractional coordinates of all 4 atoms:
1 Co 0.500 0.000 0.500
2 Re 0.000 0.500 0.500
3 Ru 0.000 0.000 0.000
4 Ru 0.500 0.500 0.000

Computed properties:
The density of states at the Fermi level is 5.38 states/eV per cell. For the magnetization, the calculation gives 0.8 μB per formula unit. The calculation puts the calculated total energy at -9.392 eV/atom. Its polymorph energy (0 for the lowest one) is 63 meV/atom. The energy relative to the elements is 135 meV/atom.

***

(8)
CoReRu | PBE | optimized geometry

Cell: 4.587 4.587 4.587 Å, 145.96 132.01 60.14°
Fractional coordinates of all 3 atoms:
1 Co 0.000 0.000 0.000
2 Re 0.336 0.336 0.000
3 Ru 0.664 0.664 0.000

Computed properties:
The density of states at the Fermi level is 3.74 states/eV per cell. For the magnetization, the calculation gives 1.0 μB per formula unit. The calculation puts the calculated total energy at -9.553 eV/atom. Its polymorph energy (0 for the lowest one) is 0 meV/atom. The energy relative to the elements is 57 meV/atom.